No. 1
A plane-wave DFT calculation with PBE was carried out for Ce3Tl5In after structural relaxation.

Structure (extended XYZ):
```
18
Lattice="8.9382 0.0000 0.0000 0.0000 8.9382 0.0000 -4.4691 -4.4691 6.6424" Properties=species:S:1:pos:R:3 pbc="T T T"
Tl -2.6978 1.7714 4.7669
Tl 7.1669 2.6978 1.8755
Tl 0.0000 0.0000 0.0000
Tl 2.6977 -1.7714 4.7669
Tl 6.2405 7.1669 1.8755
Tl -1.7714 -2.6978 4.7669
Tl 1.7714 6.2405 1.8755
Tl 2.6978 1.7714 1.8755
Tl 4.4691 4.4691 0.0000
Tl 1.7714 2.6977 4.7669
Ce 3.5098 7.9789 0.0000
Ce 5.4284 0.9593 0.0000
Ce 0.9593 3.5098 0.0000
Ce 4.4691 4.4691 3.3212
Ce 7.9789 5.4284 0.0000
Ce 0.0000 0.0000 3.3212
In 4.4691 0.0000 3.3212
In 0.0000 4.4691 3.3212
```

Calculated values
E: -3.69 eV/atom
Energy of formation from the pure elements: -0.09 eV per atom
Magnetization: 6.098 μB per cell
Fermi-level density of states: 36.21 states/eV per cell

=====

No. 2
A plane-wave DFT calculation with PBE was carried out for Pm2Be4Ir3Pt after structural relaxation.

Structure (extended XYZ):
```
10
Lattice="4.0385 0.0000 0.0000 0.0000 4.0385 0.0000 0.0000 0.0000 9.4864" Properties=species:S:1:pos:R:3 pbc="T T T"
Pt 2.0192 2.0192 4.7432
Be 2.0192 2.0192 0.0000
Be 2.0192 0.0000 5.9118
Be 0.0000 2.0192 3.5746
Be 0.0000 0.0000 0.0000
Ir 0.0000 0.0000 4.7432
Ir 2.0192 0.0000 8.3247
Ir 0.0000 2.0192 1.1617
Pm 2.0192 0.0000 2.3499
Pm 0.0000 2.0192 7.1366
```

Calculated values
E: -6.39 eV/atom
Energy of formation from the pure elements: -0.69 eV per atom
Magnetization: 0.000 μB per cell
Fermi-level density of states: 3.15 states/eV per cell

=====

Q: What is the formula in the first record?
A: Ce3Tl5In